# 1
# Ga2SiHW, relaxed, DFT GGA-PBE
# - Energy: -4.7351 eV/atom
data_Ga2SiHW
_chemical_formula_sum 'Ga2 Si1 H1 W1'
_symmetry_space_group_name_H-M 'P 4/m m m'
_symmetry_Int_Tables_number 123
_symmetry_space_group_name_Hall '-P 4 2'
_cell_length_a 5.014
_cell_length_b 5.014
_cell_length_c 3.439
_cell_angle_alpha 90.00
_cell_angle_beta 90.00
_cell_angle_gamma 90.00
loop_
_atom_site_label
_atom_site_fract_x
_atom_site_fract_y
_atom_site_fract_z
Ga1 0.000 0.500 0.000
Si1 0.000 0.000 0.500
H1 0.500 0.500 0.500
W1 0.500 0.500 0.000

# 2
# NaSrCa2, relaxed, DFT GGA-PBE
# - Calculated formation energy: 0.05 eV per atom
# - Energy above the most stable polymorph in this dataset: 21.1 meV/atom
# - Energy: -1.6967 eV/atom
data_NaSrCa2
_chemical_formula_sum 'Na3 Sr3 Ca6'
_symmetry_space_group_name_H-M 'R 3 m'
_symmetry_Int_Tables_number 160
_symmetry_space_group_name_Hall 'R 3 -2"'
_cell_length_a 3.9965
_cell_length_b 3.9965
_cell_length_c 38.6403
_cell_angle_alpha 90.00
_cell_angle_beta 90.00
_cell_angle_gamma 120.00
loop_
_atom_site_label
_atom_site_fract_x
_atom_site_fract_y
_atom_site_fract_z
Na1 0.0000 0.0000 0.0000
Sr1 0.0000 0.0000 0.8334
Ca1 0.0000 0.0000 0.4137
Ca2 0.0000 0.0000 0.5862